Below is a relaxed structure of Sm6Y12Tm, with properties calculated at the PBE level.

Lattice parameters (Å, degrees): 8.764 8.764 8.764 99.07 99.07 99.07
Fractional positions:
1 Sm 0.159 0.597 0.597
2 Sm 0.403 0.403 0.841
3 Sm 0.403 0.841 0.403
4 Sm 0.597 0.159 0.597
5 Sm 0.597 0.597 0.159
6 Sm 0.841 0.403 0.403
7 Y 0.000 0.259 0.741
8 Y 0.000 0.741 0.259
9 Y 0.147 0.147 0.418
10 Y 0.147 0.418 0.147
11 Y 0.259 0.000 0.741
12 Y 0.259 0.741 0.000
13 Y 0.418 0.147 0.147
14 Y 0.582 0.853 0.853
15 Y 0.741 0.000 0.259
16 Y 0.741 0.259 0.000
17 Y 0.853 0.582 0.853
18 Y 0.853 0.853 0.582
19 Tm 0.500 0.500 0.500

## Properties
- magnetization (μB per cell) = 0.0
- DOS(E_F) (states/eV per atom) = 1.822
- polymorph energy (0 for the lowest one) (meV per atom) = 90
- raw total energy (eV per atom) = -5.600
- crystal system = trigonal